VASP calculation (PBE) on a relaxed KAlRu2 crystal.

Lattice parameters (Å, degrees): 4.1352 4.1352 4.1826 90.00 90.00 90.00
With the nearest neighbours (Å) after each atom.
Space group P4/mmm (No. 123)
Inequivalent atoms, fractional coordinates:
K (0.0000, 0.0000, 0.0000) (multiplicity 1)  4 Al 2.92, 8 Ru 2.94
Al (0.5000, 0.5000, 0.0000) (multiplicity 1)  4 K 2.92, 8 Ru 2.94
Ru (0.0000, 0.5000, 0.5000) (multiplicity 2)  4 Ru 2.92, 4 K 2.94, 4 Al 2.94

Properties
calculated total energy	-4.72	eV per atom
E_form	1128.1	meV per atom

VASP calculation (PBE) on a relaxed AcPm5SmTm2 crystal.

Lattice parameters (Å, degrees): 5.8145 17.5777 12.1544 90.00 90.00 90.00
With the nearest neighbours (Å) after each atom.
Space group Cmc2_1 (No. 36)
Inequivalent atoms, fractional coordinates:
Ac (0.0000, 0.1132, 0.0000) (multiplicity 4)  2 Tm 3.53, 5 Pm 3.55-3.88, 2 Sm 3.79
Pm (0.0000, 0.0784, 0.3410) (multiplicity 4)  5 Pm 3.52-3.94, 4 Tm 3.53-3.81, 1 Sm 3.56, 1 Ac 3.88
Pm (0.0000, 0.0810, 0.6653) (multiplicity 4)  7 Pm 3.52-3.94, 1 Sm 3.56, 4 Tm 3.57-3.71
Pm (0.0000, 0.2690, 0.7964) (multiplicity 4)  3 Pm 3.19-3.51, 1 Tm 3.26
Pm (0.0000, 0.2703, 0.2041) (multiplicity 4)  2 Pm 3.19, 2 Tm 3.27-3.47
Pm (0.0000, 0.4404, 0.6480) (multiplicity 4)  3 Tm 3.28-3.58, 1 Pm 3.51, 2 Ac 3.55
Sm (0.0000, 0.2483, 0.4999) (multiplicity 4)  9 Pm 3.56-3.84, 3 Tm 3.78-3.80, 2 Ac 3.79
Tm (0.0000, 0.3907, 0.9992) (multiplicity 4)  7 Pm 3.26-3.57, 1 Tm 3.49
Tm (0.0000, 0.4382, 0.3534) (multiplicity 4)  3 Pm 3.28-3.58, 1 Tm 3.49, 2 Ac 3.53

Properties
calculated total energy	-4.53	eV per atom
E_form	85.3	meV per atom

VASP calculation (PBE) on a relaxed Ti2FeAsIr crystal.

Lattice parameters (Å, degrees): 4.6167 4.6167 4.4684 90.00 90.00 90.00
With the nearest neighbours (Å) after each atom.
Space group P4/mmm (No. 123)
Inequivalent atoms, fractional coordinates:
Ti (0.0000, 0.5000, 0.0000) (multiplicity 2)  2 As 2.31
Fe (0.0000, 0.0000, 0.5000) (multiplicity 1)  8 Ti 3.21, 4 Ir 3.26
As (0.5000, 0.5000, 0.0000) (multiplicity 1)  2 Ir 2.23, 4 Ti 2.31
Ir (0.5000, 0.5000, 0.5000) (multiplicity 1)  2 As 2.23

Properties
calculated total energy	-6.73	eV per atom
E_form	819.3	meV per atom